(1)
# TlGa3Se, relaxed, DFT PBE
# **Relative energy among the computed polymorphs**: 0 meV per atom
# **Formation energy from raw total energies**: 1.6 eV per formula unit
data_TlGa3Se
_space_group_name_H-M_alt 'P m -3 m'
_space_group_IT_number 221
_space_group_name_Hall '-P 4 2 3'
_cell_length_a 5.314
_cell_length_b 5.314
_cell_length_c 5.314
_cell_angle_alpha 90.00
_cell_angle_beta 90.00
_cell_angle_gamma 90.00
loop_
_atom_site_label
_atom_site_type_symbol
_atom_site_fract_x
_atom_site_fract_y
_atom_site_fract_z
_atom_site_occupancy
Tl1 Tl 0.000 0.000 0.000 1
Ga1 Ga 0.000 0.500 0.500 1
Se1 Se 0.500 0.500 0.500 1

---

(2)
# PrIn6Ag12, relaxed, DFT PBE
# **DFT formation energy**: 0.015 eV/atom
data_PrIn6Ag12
_space_group_name_H-M_alt 'R -3 m'
_space_group_IT_number 166
_space_group_name_Hall '-R 3 2"'
_cell_length_a 12.3911
_cell_length_b 12.3911
_cell_length_c 9.4770
_cell_angle_alpha 90.00
_cell_angle_beta 90.00
_cell_angle_gamma 120.00
loop_
_atom_site_label
_atom_site_type_symbol
_atom_site_fract_x
_atom_site_fract_y
_atom_site_fract_z
_atom_site_occupancy
Pr1 Pr 0.0000 0.0000 0.0000 1
In1 In 0.0593 0.5297 0.2383 1
Ag1 Ag 0.0000 0.3891 0.5000 1
Ag2 Ag 0.0805 0.1609 0.2803 1

---

(3)
# Y6TlCd5, relaxed, DFT PBE
# **DFT formation energy**: -0.365 eV/atom
data_Y6TlCd5
_space_group_name_H-M_alt 'P 1 2/m 1'
_space_group_IT_number 10
_space_group_name_Hall '-P 2y'
_cell_length_a 5.304
_cell_length_b 7.525
_cell_length_c 8.405
_cell_angle_alpha 90.00
_cell_angle_beta 108.26
_cell_angle_gamma 90.00
loop_
_atom_site_label
_atom_site_type_symbol
_atom_site_fract_x
_atom_site_fract_y
_atom_site_fract_z
_atom_site_occupancy
Y1 Y 0.000 0.249 0.000 1
Y2 Y 0.333 0.248 0.666 1
Tl1 Tl 0.500 0.500 0.000 1
Cd1 Cd 0.167 0.000 0.333 1
Cd2 Cd 0.171 0.500 0.342 1
Cd3 Cd 0.500 0.000 0.000 1

---

(4)
# SmDy2HoTm6, relaxed, DFT PBE
# **DFT formation energy**: 0.123 eV/atom
data_SmDy2HoTm6
_space_group_name_H-M_alt 'C 1 2/c 1'
_space_group_IT_number 15
_space_group_name_Hall '-C 2yc'
_cell_length_a 8.963
_cell_length_b 14.891
_cell_length_c 9.442
_cell_angle_alpha 90.00
_cell_angle_beta 97.36
_cell_angle_gamma 90.00
loop_
_atom_site_label
_atom_site_type_symbol
_atom_site_fract_x
_atom_site_fract_y
_atom_site_fract_z
_atom_site_occupancy
Sm1 Sm 0.000 0.024 0.250 1
Dy1 Dy 0.250 0.053 0.545 1
Ho1 Ho 0.000 0.409 0.750 1
Tm1 Tm 0.063 0.188 0.942 1
Tm2 Tm 0.101 0.392 0.118 1
Tm3 Tm 0.205 0.226 0.317 1

---

(5)
# La4InOs, relaxed, DFT PBE
# **DFT formation energy**: 0.691 eV/atom
# **Relative energy among the computed polymorphs**: 974 meV per atom
data_La4InOs
_space_group_name_H-M_alt 'F -4 3 m'
_space_group_IT_number 216
_space_group_name_Hall 'F -4 2 3'
_cell_length_a 8.831
_cell_length_b 8.831
_cell_length_c 8.831
_cell_angle_alpha 90.00
_cell_angle_beta 90.00
_cell_angle_gamma 90.00
loop_
_atom_site_label
_atom_site_type_symbol
_atom_site_fract_x
_atom_site_fract_y
_atom_site_fract_z
_atom_site_occupancy
La1 La 0.123 0.123 0.123 1
In1 In 0.000 0.000 0.500 1
Os1 Os 0.250 0.250 0.750 1

---

(6)
# LuCdInPd, relaxed, DFT PBE
# **DFT formation energy**: -0.503 eV/atom
data_LuCdInPd
_space_group_name_H-M_alt 'F -4 3 m'
_space_group_IT_number 216
_space_group_name_Hall 'F -4 2 3'
_cell_length_a 6.905
_cell_length_b 6.905
_cell_length_c 6.905
_cell_angle_alpha 90.00
_cell_angle_beta 90.00
_cell_angle_gamma 90.00
loop_
_atom_site_label
_atom_site_type_symbol
_atom_site_fract_x
_atom_site_fract_y
_atom_site_fract_z
_atom_site_occupancy
Lu1 Lu 0.000 0.000 0.000 1
Cd1 Cd 0.250 0.250 0.750 1
In1 In 0.000 0.000 0.500 1
Pd1 Pd 0.250 0.250 0.250 1

---

(7)
# TaAlCr2, relaxed, DFT PBE
# **DFT formation energy**: 0.097 eV/atom
data_TaAlCr2
_space_group_name_H-M_alt 'I -4 m 2'
_space_group_IT_number 119
_space_group_name_Hall 'I -4 -2'
_cell_length_a 3.673
_cell_length_b 3.673
_cell_length_c 8.534
_cell_angle_alpha 90.00
_cell_angle_beta 90.00
_cell_angle_gamma 90.00
loop_
_atom_site_label
_atom_site_type_symbol
_atom_site_fract_x
_atom_site_fract_y
_atom_site_fract_z
_atom_site_occupancy
Ta1 Ta 0.000 0.000 0.000 1
Al1 Al 0.000 0.500 0.750 1
Cr1 Cr 0.000 0.000 0.500 1
Cr2 Cr 0.000 0.500 0.250 1

---

(8)
# Te2OsAu, relaxed, DFT PBE
# **Relative energy among the computed polymorphs**: 156 meV per atom
# **Formation energy from raw total energies**: 1.3 eV per formula unit
data_Te2OsAu
_space_group_name_H-M_alt 'R -3 m'
_space_group_IT_number 166
_space_group_name_Hall '-R 3 2"'
_cell_length_a 3.8320
_cell_length_b 3.8320
_cell_length_c 21.7662
_cell_angle_alpha 90.00
_cell_angle_beta 90.00
_cell_angle_gamma 120.00
loop_
_atom_site_label
_atom_site_type_symbol
_atom_site_fract_x
_atom_site_fract_y
_atom_site_fract_z
_atom_site_occupancy
Te1 Te 0.0000 0.0000 0.2370 1
Os1 Os 0.0000 0.0000 0.5000 1
Au1 Au 0.0000 0.0000 0.0000 1

---

no.,DOS at the Fermi energy (states/eV/f.u.)
1,3.9
2,4.3
3,11.7
4,14.1
5,10.6
6,2.2
7,4.5
8,3.3